## La4CuRhCl2 (PBE)

Data for a geometry-optimized La4CuRhCl2 structure.

Calculated values
Spin magnetization = 0.0 μB per cell
DOS at the Fermi energy = 8.2 states/eV/cell
Formation energy (no corrections) = -1032 meV per atom
Density = 5.731 g/cm3
Volume = 28.72 Å³/atom

abc: 4.214 7.899 7.258
angles: 71.96 90.00 90.00
Fractional positions:
La  0.000  0.711  0.764
La  0.000  0.289  0.236
La  0.500  0.715  0.249
La  0.500  0.285  0.751
Cu  0.000  0.500  0.500
Rh  0.500  0.500  0.000
Cl  0.000  0.000  0.000
Cl  0.500  0.000  0.500